GGA-PBE LiIr2C4, optimized geometry; DFT formation energy = 2.173 eV/atom
1.0
-3.7271 0.6124 0.6414
-0.8817 -2.8558 -2.3968
-2.1469 -5.2309 3.9606
C Ir Li
4 2 1
Direct
0.5000 0.0000 0.0000 C
0.2616 0.2616 0.4768 C
0.0000 0.5000 0.0000 C
0.7384 0.7384 0.5232 C
0.3988 0.3988 0.2025 Ir
0.6012 0.6012 0.7975 Ir
0.0000 0.0000 0.0000 Li

GGA-PBE PaZnNi2Ge2, optimized geometry; DFT formation energy = -0.430 eV/atom
1.0
-0.6738 -4.0503 -0.0351
1.7274 1.8221 -3.2490
5.9455 -1.0115 2.5939
Ge Ni Zn Pa
2 2 1 1
Direct
0.3333 0.6667 0.7316 Ge
0.6667 0.3333 0.2684 Ge
0.6667 0.3333 0.6685 Ni
0.3333 0.6667 0.3315 Ni
0.0000 0.0000 0.5000 Zn
0.0000 0.0000 0.0000 Pa

GGA-PBE Sm4YEr6, optimized geometry; DFT formation energy = 0.455 eV/atom; E above lowest polymorph = 14.5 kJ per mole of atoms
1.0
7.6755 0.0000 0.0000
0.0000 7.6755 0.0000
-3.8377 -3.8377 6.4887
Sm Er Y
4 6 1
Direct
0.9027 0.9027 0.1511 Sm
0.2484 0.2484 0.1511 Sm
0.0973 0.7516 0.8489 Sm
0.7516 0.0973 0.8489 Sm
0.4367 0.9308 0.3675 Er
0.9308 0.4367 0.3675 Er
0.0000 0.5000 0.0000 Er
0.5633 0.5633 0.6325 Er
0.5000 0.0000 0.0000 Er
0.0692 0.0692 0.6325 Er
0.5000 0.5000 0.0000 Y

GGA-PBE Ac2La5Ho5, optimized geometry; DFT formation energy = 0.041 eV/atom
1.0
0.4970 0.2995 5.1731
0.6446 -10.5773 3.1695
7.7905 2.2860 1.7384
La Ac Ho
5 2 5
Direct
0.3255 0.7587 0.5903 La
0.0058 0.2419 0.7466 La
0.9942 0.7581 0.2534 La
0.6745 0.2413 0.4097 La
0.0000 0.0000 0.0000 La
0.6621 0.5003 0.1754 Ac
0.3379 0.4997 0.8246 Ac
0.6652 0.0020 0.6676 Ho
0.6640 0.7561 0.9158 Ho
0.3348 0.9980 0.3324 Ho
0.3360 0.2439 0.0842 Ho
0.0000 0.5000 0.5000 Ho

GGA-PBE Cs2ZrAsCl6, optimized geometry; energy relative to the elements, uncorrected = -13.87 eV per formula unit
1.0
-1.8273 -6.4097 -3.3670
3.5346 -3.8204 5.3546
-4.4919 -5.3548 4.3513
As Cl Zr Cs
1 6 1 2
Direct
0.5000 0.5000 0.0000 As
0.7625 0.7625 0.0000 Cl
0.7625 0.2375 0.0000 Cl
0.2375 0.7625 0.0000 Cl
0.8005 0.8005 0.3989 Cl
0.2375 0.2375 0.0000 Cl
0.1995 0.1995 0.6011 Cl
0.0000 0.0000 0.0000 Zr
0.7500 0.2500 0.5000 Cs
0.2500 0.7500 0.5000 Cs

GGA-PBE KZn3Os, optimized geometry; DFT formation energy = 2.078 eV/atom; E above lowest polymorph = 174.8 kJ per mole of atoms
1.0
5.8847 0.0000 0.0000
0.0000 5.8847 0.0000
0.0000 0.0000 5.8847
Os Zn K
1 3 1
Direct
0.5000 0.5000 0.5000 Os
0.0000 0.0000 0.5000 Zn
0.5000 0.0000 0.0000 Zn
0.0000 0.5000 0.0000 Zn
0.0000 0.0000 0.0000 K

GGA-PBE Ta2CuSbOs, optimized geometry; energy relative to the elements, uncorrected = 6.17 eV per formula unit
1.0
-1.7855 2.7153 -3.2780
-2.7504 -3.4239 -1.3380
-3.2360 1.4434 2.9582
Cu Os Ta Sb
1 1 2 1
Direct
0.0000 0.0000 0.0000 Cu
0.0000 0.5000 0.0000 Os
0.5000 0.0000 0.0000 Ta
0.0000 0.0000 0.5000 Ta
0.5000 0.5000 0.5000 Sb

GGA-PBE OsRh2F, optimized geometry; energy relative to the elements, uncorrected = 1.77 eV per formula unit; E above lowest polymorph = 15.8 kJ per mole of atoms
1.0
6.4257 0.0000 0.0000
0.0000 6.4257 0.0000
3.2128 3.2128 2.8591
Rh F Os
4 2 2
Direct
0.8750 0.8636 0.7500 Rh
0.3750 0.3864 0.7500 Rh
0.6136 0.1250 0.2500 Rh
0.1364 0.6250 0.2500 Rh
0.5000 0.5000 0.0000 F
0.2500 0.7500 0.5000 F
0.7500 0.2500 0.5000 Os
0.0000 0.0000 0.0000 Os

GGA-PBE LiPu2CuRh2, optimized geometry; DFT formation energy = -0.321 eV/atom
1.0
-2.6359 1.4965 4.4964
-1.9204 -5.0699 0.5615
8.2697 -0.0270 1.5871
Rh Cu Pu Li
4 2 4 2
Direct
0.1300 0.8806 0.2599 Rh
0.6300 0.3794 0.2599 Rh
0.3700 0.6206 0.7401 Rh
0.8700 0.1194 0.7401 Rh
0.2500 0.5000 0.0000 Cu
0.7500 0.5000 0.0000 Cu
0.8307 0.5784 0.6614 Pu
0.3307 0.0830 0.6614 Pu
0.6693 0.9170 0.3386 Pu
0.1693 0.4216 0.3386 Pu
0.2500 0.0000 0.0000 Li
0.7500 0.0000 0.0000 Li

GGA-PBE Ac4NiPd, optimized geometry; DFT formation energy = -0.306 eV/atom; E above lowest polymorph = 3.7 kJ per mole of atoms
1.0
7.8345 -0.0402 0.0000
-1.2120 6.8778 0.0000
-3.3113 -3.4188 7.5199
Ac Ni Pd
8 2 2
Direct
0.6757 0.7880 0.1286 Ac
0.3402 0.6160 0.6188 Ac
0.6598 0.3840 0.3812 Ac
0.3243 0.2120 0.8714 Ac
0.0470 0.6594 0.8714 Ac
0.7786 0.0029 0.6188 Ac
0.2214 0.9971 0.3812 Ac
0.9530 0.3406 0.1286 Ac
0.0155 0.7655 0.5309 Ni
0.9845 0.2345 0.4691 Ni
0.3787 0.6287 0.2574 Pd
0.6213 0.3713 0.7426 Pd

GGA-PBE PuPaCuPt, optimized geometry; DFT formation energy = -0.305 eV/atom; E above lowest polymorph = 19.6 kJ per mole of atoms
1.0
4.9268 0.0000 0.0000
2.4634 4.2667 0.0000
2.4634 1.4222 4.0227
Pu Pt Pa Cu
1 1 1 1
Direct
0.7500 0.7500 0.7500 Pu
0.5000 0.5000 0.5000 Pt
0.2500 0.2500 0.2500 Pa
0.0000 0.0000 0.0000 Cu

GGA-PBE Na3Np3BiSe8, optimized geometry; energy relative to the elements, uncorrected = -15.89 eV per formula unit
1.0
8.3741 0.0000 0.0000
-4.1870 7.2529 -0.0279
0.0000 -4.8121 6.9996
Np Se Na Bi
3 8 3 1
Direct
0.5000 0.5000 0.5000 Np
0.5000 0.0000 0.5000 Np
0.0000 0.5000 0.5000 Np
0.2566 0.5132 0.2699 Se
0.7434 0.4868 0.7301 Se
0.2487 0.4973 0.7310 Se
0.2662 0.0175 0.2691 Se
0.7513 0.5027 0.2690 Se
0.7338 0.9825 0.7309 Se
0.2487 0.9825 0.7309 Se
0.7513 0.0175 0.2691 Se
0.5000 0.5000 0.0000 Na
0.0000 0.5000 0.0000 Na
0.0000 0.0000 0.0000 Na
0.0000 0.0000 0.5000 Bi

GGA-PBE InTe2RuN, optimized geometry; energy relative to the elements, uncorrected = 0.90 eV per formula unit; E above lowest polymorph = 0.0 kJ per mole of atoms
1.0
5.6062 0.0000 0.0000
0.0000 5.6062 0.0000
0.0000 0.0000 3.6637
Ru N Te In
1 1 2 1
Direct
0.0000 0.0000 0.0000 Ru
0.0000 0.0000 0.5000 N
0.5000 0.0000 0.0000 Te
0.0000 0.5000 0.0000 Te
0.5000 0.5000 0.5000 In

GGA-PBE Ac4Hg2N, optimized geometry; energy relative to the elements, uncorrected = -3.94 eV per formula unit; E above lowest polymorph = 1.4 kJ per mole of atoms
1.0
5.3718 0.0000 0.0000
0.0000 5.3718 0.0000
2.6859 2.6859 8.0058
N Hg Ac
1 2 4
Direct
0.0000 0.0000 0.0000 N
0.3714 0.3714 0.2573 Hg
0.6286 0.6286 0.7427 Hg
0.8296 0.8296 0.3408 Ac
0.1704 0.1704 0.6592 Ac
0.0000 0.5000 0.0000 Ac
0.5000 0.0000 0.0000 Ac

GGA-PBE RbS6I2, optimized geometry; energy relative to the elements, uncorrected = 0.24 eV per formula unit
1.0
6.7761 -0.1286 -1.3297
-0.3112 4.4319 -2.0144
-0.1773 1.7741 9.8372
S I Rb
6 2 1
Direct
0.5952 0.3705 0.1321 S
0.2975 0.1603 0.3207 S
0.7025 0.8397 0.6793 S
0.5952 0.7616 0.1321 S
0.4048 0.6295 0.8679 S
0.4048 0.2384 0.8679 S
0.7915 0.3083 0.6165 I
0.2085 0.6917 0.3835 I
0.0000 0.0000 0.0000 Rb

GGA-PBE Tl3BSe3, optimized geometry; energy relative to the elements, uncorrected = -2.04 eV per formula unit; E above lowest polymorph = 2.7 kJ per mole of atoms
1.0
6.5090 0.0000 0.0000
0.0000 7.1709 -1.7435
0.0000 -0.0445 8.8283
Se Tl B
6 6 2
Direct
0.7500 0.6835 0.5243 Se
0.2500 0.1635 0.8140 Se
0.2500 0.3165 0.4757 Se
0.7500 0.3679 0.1765 Se
0.2500 0.6321 0.8235 Se
0.7500 0.8365 0.1860 Se
0.2500 0.4674 0.1267 Tl
0.2500 0.9719 0.1780 Tl
0.2500 0.7784 0.5263 Tl
0.7500 0.5326 0.8733 Tl
0.7500 0.0281 0.8220 Tl
0.7500 0.2216 0.4737 Tl
0.7500 0.6327 0.2963 B
0.2500 0.3673 0.7037 B

GGA-PBE FeNCl2, optimized geometry; energy relative to the elements, uncorrected = 3.96 eV per formula unit; E above lowest polymorph = 21.5 kJ per mole of atoms
1.0
-1.6589 7.7543 5.1903
-2.9344 5.3541 7.2487
0.4053 6.0389 7.2930
N Fe Cl
1 1 2
Direct
0.0000 0.0000 0.0000 N
0.5000 0.5000 0.5000 Fe
0.8766 0.8766 0.8766 Cl
0.1234 0.1234 0.1234 Cl

GGA-PBE HfSc4Al5, optimized geometry; DFT formation energy = -0.420 eV/atom
1.0
3.0343 0.0000 0.0000
0.0000 3.0343 0.0000
0.0000 0.0000 20.9755
Sc Al Hf
4 5 1
Direct
0.0000 0.0000 0.8016 Sc
0.0000 0.0000 0.1984 Sc
0.0000 0.0000 0.6004 Sc
0.0000 0.0000 0.3996 Sc
0.5000 0.5000 0.2991 Al
0.5000 0.5000 0.9020 Al
0.5000 0.5000 0.5000 Al
0.5000 0.5000 0.7009 Al
0.5000 0.5000 0.0980 Al
0.0000 0.0000 0.0000 Hf